A plane-wave DFT calculation with PBE was carried out for K2CaCd after structural relaxation.

a b c (Å): 3.9551 3.9551 11.8323
angles (deg): 90.00 90.00 90.00
Closest atoms and distances in Å follow each position.
Space group P4/mmm (No. 123)
Inequivalent atoms, fractional coordinates:
K  0.0000  0.0000  0.2128 (multiplicity 2)  4 Cd 3.76, 4 K 3.96
Ca  0.5000  0.5000  0.5000 (multiplicity 1)  4 Ca 3.96, 8 K 4.40
Cd  0.5000  0.5000  0.0000 (multiplicity 1)  8 K 3.76, 4 Cd 3.96

Computed properties:
M_tot = 0.000 μB per atom
DFT formation energy = 102 meV/atom

A plane-wave DFT calculation with PBE was carried out for K4CaCd after structural relaxation.

a b c (Å): 11.0750 11.0750 11.0750
angles (deg): 90.00 90.00 90.00
Closest atoms and distances in Å follow each position.
Space group F-43m (No. 216)
Inequivalent atoms, fractional coordinates:
K  0.1253  0.1253  0.1253 (multiplicity 16)  6 K 3.91-3.92
Ca  0.2500  0.2500  0.7500 (multiplicity 4)  12 K 4.59, 4 Cd 4.80
Cd  0.0000  0.0000  0.5000 (multiplicity 4)  12 K 4.59, 4 Ca 4.80

Computed properties:
M_tot = 0.000 μB per atom
DFT formation energy = 256 meV/atom

A plane-wave DFT calculation with PBE was carried out for K2CaCd after structural relaxation.

a b c (Å): 5.0114 5.4003 6.3482
angles (deg): 90.00 90.00 90.00
Closest atoms and distances in Å follow each position.
Space group Pmmm (No. 47)
Inequivalent atoms, fractional coordinates:
K  0.0000  0.0000  0.0000 (multiplicity 1)  4 K 3.68, 4 Cd 4.04
K  0.5000  0.5000  0.0000 (multiplicity 1)  4 K 3.68, 4 Ca 4.04
Ca  0.0000  0.5000  0.5000 (multiplicity 1)  4 Cd 3.68, 4 K 4.04
Cd  0.5000  0.0000  0.5000 (multiplicity 1)  4 Ca 3.68, 4 K 4.04

Computed properties:
M_tot = 0.000 μB per atom
DFT formation energy = 91 meV/atom